5
Lattice="5.0981 0.0000 0.0000 0.0000 5.0981 0.0000 0.0000 0.0000 5.0981" Properties=species:S:1:pos:R:3 comment="BeAg3Pt (PBE, optimized geometry)" volume_a3_per_cell=132.5 formation_energy_kj_per_mol_atoms=117.1 total_magnetization_mub_per_fu=0.00 rho_kg_m3=6613 pbc="T T T"
Be 0.0000 0.0000 0.0000
Ag 0.0000 2.5491 2.5491
Ag 2.5491 0.0000 2.5491
Ag 2.5491 2.5491 0.0000
Pt 2.5491 2.5491 2.5491